# CrNiAg2F7, relaxed, DFT GGA+U
data_CrNiAg2F7
_chemical_formula_sum 'Cr4 Ni4 Ag8 F28'
_cell_length_a 7.502
_cell_length_b 10.461
_cell_length_c 7.751
_cell_angle_alpha 90.00
_cell_angle_beta 90.00
_cell_angle_gamma 90.00
_symmetry_space_group_name_H-M 'I m m a'
_symmetry_Int_Tables_number 74
_symmetry_space_group_name_Hall '-I 2b 2'
loop_
_atom_site_label
_atom_site_fract_x
_atom_site_fract_y
_atom_site_fract_z
_atom_site_occupancy
Cr1 0.250 0.250 0.250 1
Ni1 0.000 0.000 0.000 1
Ag1 0.000 0.000 0.500 1
Ag2 0.250 0.250 0.750 1
F1 0.000 0.095 0.774 1
F2 0.000 0.250 0.335 1
F3 0.198 0.121 0.077 1
# * calculated total energy: -4.39 eV/atom
# * magnetic moment: 2.982 μB/f.u.